! PBE YAlMo2, optimized geometry; values from VASP
&SYSTEM
  ibrav = 0, nat = 4, ntyp = 3
/
ATOMIC_SPECIES
Al 26.98 Al.upf
Mo 95.94 Mo.upf
Y 88.91 Y.upf
ATOMIC_POSITIONS crystal
Al 0.2337 0.7337 0.5000
Mo 0.7769 0.2769 0.5000
Y 0.5145 0.5145 0.0000
Mo 0.9749 0.9749 0.0000
CELL_PARAMETERS angstrom
-4.6601 0.1237 -2.9315
-1.9840 -4.9172 -1.4869
1.4013 3.1117 4.3220
! * formation energy: 111 meV per atom
! * space-group type: Imm2 (44)
! * E: -7.856 eV/atom